[1]
AlWSe2 at its PBEsol-relaxed geometry. Source: Alexandria, functional meta-GGA SCAN.

```
AlWSe2
1.0
9.625 0.000 0.000
0.000 3.106 0.000
-2.509 0.000 5.853
Al W Se
2 2 4
direct
0.000 0.000 0.000
0.500 0.500 0.000
0.267 0.000 0.961
0.767 0.500 0.961
0.079 0.500 0.687
0.251 0.500 0.259
0.579 0.000 0.687
0.751 0.000 0.259
```

Output
Total magnetic moment (μB/f.u.): 0.00
Electronic total energy (eV/atom): -29.425


[2]
Y2AlSe at its PBEsol-relaxed geometry. Source: Alexandria, functional meta-GGA SCAN.

```
Y2AlSe
1.0
3.856 0.000 0.000
-1.928 3.340 0.000
0.000 0.000 22.721
Y Al Se
6 3 3
direct
0.000 0.000 0.245
0.000 0.000 0.755
0.333 0.667 0.422
0.333 0.667 0.911
0.667 0.333 0.089
0.667 0.333 0.578
0.000 0.000 0.000
0.333 0.667 0.667
0.667 0.333 0.333
0.000 0.000 0.500
0.333 0.667 0.167
0.667 0.333 0.833
```

Output
Excess energy over the best structure of this formula in the dataset (eV/f.u.): 0.000
Total magnetic moment (μB/f.u.): 0.00


[3]
Y2AlSe at its PBEsol-relaxed geometry. Source: Alexandria, functional meta-GGA SCAN.

```
Y2AlSe
1.0
3.601 0.000 0.000
0.000 4.535 0.000
0.000 0.000 11.815
Y Al Se
4 2 2
direct
0.000 0.000 0.000
0.000 0.500 0.234
0.500 0.000 0.734
0.500 0.500 0.500
0.000 0.500 0.807
0.500 0.000 0.307
0.000 0.000 0.539
0.500 0.500 0.039
```

Output
Excess energy over the best structure of this formula in the dataset (eV/f.u.): 1.327
Total magnetic moment (μB/f.u.): 0.00


[4]
Y2AlSe at its PBEsol-relaxed geometry. Source: Alexandria, functional meta-GGA SCAN.

```
Y2AlSe
1.0
3.422 0.000 0.000
0.000 3.422 0.000
0.000 0.000 7.698
Y Al Se
2 1 1
direct
0.000 0.000 0.237
0.000 0.000 0.763
0.500 0.500 0.500
0.500 0.500 0.000
```

Output
Excess energy over the best structure of this formula in the dataset (eV/f.u.): 0.768
Total magnetic moment (μB/f.u.): 0.44


[5]
AlZnSe2 at its PBEsol-relaxed geometry. Source: Alexandria, functional meta-GGA SCAN.

```
AlZnSe2
1.0
3.671 0.000 0.000
-1.835 3.179 0.000
0.000 0.000 22.949
Al Zn Se
3 3 6
direct
0.000 0.000 0.000
0.333 0.667 0.667
0.667 0.333 0.333
0.000 0.000 0.500
0.333 0.667 0.167
0.667 0.333 0.833
0.000 0.000 0.394
0.000 0.000 0.606
0.333 0.667 0.061
0.333 0.667 0.273
0.667 0.333 0.727
0.667 0.333 0.939
```

Output
Total magnetic moment (μB/f.u.): 0.00
Electronic total energy (eV/atom): -15.774


[6]
AlZnSe2 at its PBEsol-relaxed geometry. Source: Alexandria, functional meta-GGA SCAN.

```
AlZnSe2
1.0
5.671 0.000 0.000
0.000 5.671 0.000
0.000 0.000 12.070
Al Zn Se
4 4 8
direct
0.000 0.000 0.000
0.000 0.500 0.250
0.500 0.000 0.750
0.500 0.500 0.500
0.000 0.000 0.500
0.000 0.500 0.750
0.500 0.000 0.250
0.500 0.500 0.000
0.250 0.250 0.125
0.250 0.250 0.625
0.250 0.750 0.375
0.250 0.750 0.875
0.750 0.250 0.375
0.750 0.250 0.875
0.750 0.750 0.125
0.750 0.750 0.625
```

Output
Total magnetic moment (μB/f.u.): 0.00
Electronic total energy (eV/atom): -15.807